Entry 1:
! La2NiAgB | Alexandria | GGA-PBE | relaxed; values from VASP
&SYSTEM
  ibrav = 0, nat = 5, ntyp = 4
/
ATOMIC_SPECIES
La 138.91 La.upf
Ni 58.69 Ni.upf
Ag 107.87 Ag.upf
B 10.81 B.upf
CELL_PARAMETERS angstrom
5.457 0.000 0.000
0.000 5.457 0.000
0.000 0.000 3.830
ATOMIC_POSITIONS crystal
La 0.000 0.500 0.000
La 0.500 0.000 0.000
Ni 0.000 0.000 0.500
Ag 0.500 0.500 0.500
B 0.000 0.000 0.000
! Total energy = -26.1 eV for the cell shown

Entry 2:
! LaZn2W | Alexandria | GGA-PBE | relaxed; values from VASP
&SYSTEM
  ibrav = 0, nat = 4, ntyp = 3
/
ATOMIC_SPECIES
La 138.91 La.upf
Zn 65.41 Zn.upf
W 183.84 W.upf
CELL_PARAMETERS angstrom
-2.097 2.097 4.593
2.097 -2.097 4.593
2.097 2.097 -4.593
ATOMIC_POSITIONS crystal
La 0.000 0.000 0.000
Zn 0.500 0.500 0.000
Zn 0.750 0.250 0.500
W 0.250 0.750 0.500
! Excess energy over the best structure of this formula in the dataset = 332 meV per atom

Entry 3:
! Sc2NbZn | Alexandria | GGA-PBE | relaxed; values from VASP
&SYSTEM
  ibrav = 0, nat = 4, ntyp = 3
/
ATOMIC_SPECIES
Sc 44.96 Sc.upf
Nb 92.91 Nb.upf
Zn 65.41 Zn.upf
CELL_PARAMETERS angstrom
4.299 0.000 0.000
0.000 4.299 0.000
0.000 0.000 4.182
ATOMIC_POSITIONS crystal
Sc 0.000 0.500 0.000
Sc 0.500 0.000 0.000
Nb 0.000 0.000 0.500
Zn 0.500 0.500 0.500
! Total energy = -24.1 eV for the cell shown

Entry 4:
! Na2Cd4Ag5 | Alexandria | GGA-PBE | relaxed; values from VASP
&SYSTEM
  ibrav = 0, nat = 11, ntyp = 3
/
ATOMIC_SPECIES
Na 22.99 Na.upf
Cd 112.41 Cd.upf
Ag 107.87 Ag.upf
CELL_PARAMETERS angstrom
0.000 4.838 9.416
2.877 0.000 9.416
2.877 4.838 0.000
ATOMIC_POSITIONS crystal
Na 0.158 0.158 0.842
Na 0.842 0.842 0.158
Cd 0.211 0.533 0.467
Cd 0.467 0.789 0.211
Cd 0.533 0.211 0.789
Cd 0.789 0.467 0.533
Ag 0.000 0.000 0.500
Ag 0.250 0.250 0.250
Ag 0.500 0.500 0.000
Ag 0.500 0.500 0.500
Ag 0.750 0.750 0.750
! Total energy = -20.8 eV for the cell shown

Entry 5:
! Pr7Y4Th | Alexandria | GGA-PBE | relaxed; values from VASP
&SYSTEM
  ibrav = 0, nat = 12, ntyp = 3
/
ATOMIC_SPECIES
Pr 140.91 Pr.upf
Y 88.91 Y.upf
Th 232.04 Th.upf
CELL_PARAMETERS angstrom
6.225 0.000 0.000
-0.004 7.081 0.000
-0.007 -3.513 9.540
ATOMIC_POSITIONS crystal
Pr 0.000 0.000 0.000
Pr 0.237 0.710 0.420
Pr 0.254 0.534 0.070
Pr 0.257 0.184 0.366
Pr 0.743 0.816 0.634
Pr 0.746 0.466 0.930
Pr 0.763 0.290 0.580
Y 0.255 0.601 0.726
Y 0.256 0.125 0.725
Y 0.744 0.875 0.275
Y 0.745 0.399 0.274
Th 0.500 0.000 0.000
! Total energy = -65.0 eV for the cell shown

Entry 6:
! Ac2NdEr | Alexandria | GGA-PBE | relaxed; values from VASP
&SYSTEM
  ibrav = 0, nat = 4, ntyp = 3
/
ATOMIC_SPECIES
Ac 227.00 Ac.upf
Nd 144.24 Nd.upf
Er 167.26 Er.upf
CELL_PARAMETERS angstrom
5.418 0.000 0.000
0.000 5.418 0.000
0.000 0.000 5.224
ATOMIC_POSITIONS crystal
Ac 0.000 0.500 0.000
Ac 0.500 0.000 0.000
Nd 0.000 0.000 0.500
Er 0.500 0.500 0.500
! Excess energy over the best structure of this formula in the dataset = 0 meV per atom

Entry 7:
! Ca2Pr4N | Alexandria | GGA-PBE | relaxed; values from VASP
&SYSTEM
  ibrav = 0, nat = 7, ntyp = 3
/
ATOMIC_SPECIES
Ca 40.08 Ca.upf
Pr 140.91 Pr.upf
N 14.01 N.upf
CELL_PARAMETERS angstrom
-2.599 2.599 9.126
2.599 -2.599 9.126
2.599 2.599 -9.126
ATOMIC_POSITIONS crystal
Ca 0.162 0.162 0.000
Ca 0.838 0.838 0.000
Pr 0.000 0.500 0.500
Pr 0.371 0.371 0.000
Pr 0.500 0.000 0.500
Pr 0.629 0.629 0.000
N 0.500 0.500 0.000
! Formation energy without anion corrections = -0.20 eV per atom

Entry 8:
! Sm4Er3Sc | Alexandria | GGA-PBE | relaxed; values from VASP
&SYSTEM
  ibrav = 0, nat = 16, ntyp = 3
/
ATOMIC_SPECIES
Sm 150.36 Sm.upf
Er 167.26 Er.upf
Sc 44.96 Sc.upf
CELL_PARAMETERS angstrom
-4.380 4.380 6.475
4.380 -4.380 6.475
4.380 4.380 -6.475
ATOMIC_POSITIONS crystal
Sm 0.013 0.513 0.201
Sm 0.188 0.987 0.500
Sm 0.312 0.812 0.799
Sm 0.487 0.688 0.500
Sm 0.513 0.312 0.500
Sm 0.688 0.188 0.201
Sm 0.812 0.013 0.500
Sm 0.987 0.487 0.799
Er 0.151 0.349 0.500
Er 0.250 0.250 0.000
Er 0.349 0.849 0.199
Er 0.651 0.151 0.801
Er 0.750 0.750 0.000
Er 0.849 0.651 0.500
Sc 0.000 0.000 0.000
Sc 0.500 0.500 0.000
! Excess energy over the best structure of this formula in the dataset = 68 meV per atom

Number 1: V 22.816 Å³/atom. Number 2: V 20.192 Å³/atom. Number 3: V 19.325 Å³/atom. Number 4: V 23.834 Å³/atom. Number 5: V 35.044 Å³/atom. Number 6: V 38.343 Å³/atom. Number 7: V 35.213 Å³/atom. Number 8: V 31.058 Å³/atom.